Density functional theory data (PBE+U) for a relaxed MnBiO3 crystal.

Structure (CIF):
```
data_MnBiO3
_cell_length_a 10.637
_cell_length_b 5.490
_cell_length_c 10.994
_cell_angle_alpha 90.00
_cell_angle_beta 119.96
_cell_angle_gamma 90.00
_space_group_name_H-M_alt 'P 1 21/c 1'
_space_group_IT_number 14
loop_
_space_group_symop_operation_xyz
'x,y,z'
'-x,-y,-z'
'-x,y+1/2,-z+1/2'
'x,-y+1/2,z+1/2'
loop_
_atom_site_label
_atom_site_type_symbol
_atom_site_fract_x
_atom_site_fract_y
_atom_site_fract_z
_atom_site_occupancy
Mn1 Mn 0.000 0.000 0.000 1
Mn2 Mn 0.194 0.026 0.783 1
Mn3 Mn 0.500 0.000 0.000 1
Bi1 Bi 0.205 0.020 0.480 1
Bi2 Bi 0.348 0.003 0.237 1
O1 O 0.119 0.172 0.183 1
O2 O 0.130 0.673 0.119 1
O3 O 0.150 0.081 0.953 1
O4 O 0.337 0.718 0.402 1
O5 O 0.369 0.236 0.411 1
O6 O 0.396 0.098 0.680 1
```

Properties
E_tot   -6.564 eV/atom
Size of the total moment   32.00 Bohr magnetons per cell